(1)
This record from the Alexandria database describes a crystal of LiSc2Au2 relaxed with PBEsol. The functional is meta-GGA SCAN.

Structure (POSCAR):
```
LiSc2Au2
1.0
7.679 0.000 0.000
0.000 7.679 0.000
0.000 0.000 3.335
Li Sc Au
2 4 4
direct
0.000 0.000 0.000
0.500 0.500 0.000
0.159 0.341 0.500
0.341 0.841 0.500
0.659 0.159 0.500
0.841 0.659 0.500
0.138 0.638 0.000
0.362 0.138 0.000
0.638 0.862 0.000
0.862 0.362 0.000
```

* formation energy from the elements: -0.8632 eV/atom
* space group: P4/mbm, No. 127
* crystal system: tetragonal
* size of the total moment: 0.00 μB per cell


(2)
This record from the Alexandria database describes a crystal of LiSc2Au relaxed with PBEsol. The functional is meta-GGA SCAN.

Structure (POSCAR):
```
LiSc2Au
1.0
4.530 0.000 0.000
0.000 1.636 5.219
0.000 -1.636 5.219
Li Sc Au
1 2 1
direct
0.000 0.000 0.000
0.000 0.276 0.276
0.500 0.578 0.578
0.500 0.857 0.857
```

* formation energy from the elements: -0.4734 eV/atom
* space group: Amm2, No. 38
* crystal system: orthorhombic
* size of the total moment: 0.00 μB per cell


(3)
This record from the Alexandria database describes a crystal of LiSc2Au relaxed with PBEsol. The functional is meta-GGA SCAN.

Structure (POSCAR):
```
LiSc2Au
1.0
0.000 3.343 3.343
3.343 0.000 3.343
3.343 3.343 0.000
Li Sc Au
1 2 1
direct
0.000 0.000 0.000
0.250 0.250 0.250
0.750 0.750 0.750
0.500 0.500 0.500
```

* formation energy from the elements: -0.6254 eV/atom
* space group: Fm-3m, No. 225
* crystal system: cubic
* size of the total moment: 0.00 μB per cell


(4)
This record from the Alexandria database describes a crystal of LiAuSe relaxed with PBEsol. The functional is meta-GGA SCAN.

Structure (POSCAR):
```
LiAuSe
1.0
4.318 0.000 0.000
-2.159 3.739 0.000
0.000 0.000 3.805
Li Au Se
1 1 1
direct
0.000 0.000 0.000
0.667 0.333 0.444
0.333 0.667 0.496
```

* space group: P3m1, No. 156
* crystal system: trigonal
* size of the total moment: 0.00 μB per cell


Number 1: raw total energy -346.99 eV per cell. Number 2: raw total energy -101.91 eV per cell. Number 3: raw total energy -102.52 eV per cell. Number 4: raw total energy -93.27 eV per cell.